# Tm4H, relaxed, DFT PBE
# - total moment (μB/cell) = 0.00
# - total energy (eV per atom) = -4.3974
data_Tm4H
_chemical_formula_sum 'Tm4 H1'
_space_group_name_H-M_alt 'P m -3 m'
_space_group_IT_number 221
_space_group_name_Hall '-P 4 2 3'
_cell_length_a 4.902
_cell_length_b 4.902
_cell_length_c 4.902
_cell_angle_alpha 90.00
_cell_angle_beta 90.00
_cell_angle_gamma 90.00
loop_
_atom_site_label
_atom_site_fract_x
_atom_site_fract_y
_atom_site_fract_z
_atom_site_occupancy
Tm1 0.000 0.000 0.000 1
Tm2 0.000 0.500 0.500 1
H1 0.500 0.500 0.500 1

# Nd2Ni2Sn3, relaxed, DFT PBE
# - total moment (μB/cell) = 0.00
# - energy of formation (eV/atom) = -0.51
data_Nd2Ni2Sn3
_chemical_formula_sum 'Nd4 Ni4 Sn6'
_space_group_name_H-M_alt 'C 1 2/m 1'
_space_group_IT_number 12
_cell_length_a 10.804
_cell_length_b 4.251
_cell_length_c 7.451
_cell_angle_alpha 90.00
_cell_angle_beta 114.34
_cell_angle_gamma 90.00
loop_
_space_group_symop_operation_xyz
'x,y,z'
'-x,-y,-z'
'-x,y,-z'
'x,-y,z'
'x+1/2,y+1/2,z'
'-x+1/2,-y+1/2,-z'
'-x+1/2,y+1/2,-z'
'x+1/2,-y+1/2,z'
loop_
_atom_site_label
_atom_site_fract_x
_atom_site_fract_y
_atom_site_fract_z
_atom_site_occupancy
Nd1 0.148 0.000 0.294 1
Ni1 0.145 0.000 0.733 1
Sn1 0.000 0.500 0.500 1
Sn2 0.125 0.500 0.949 1

# La4SmHo10, relaxed, DFT PBE
# - total moment (μB/cell) = 0.00
# - energy of formation (eV/atom) = 0.35
data_La4SmHo10
_chemical_formula_sum 'La8 Sm2 Ho20'
_space_group_name_H-M_alt 'I 4/m'
_space_group_IT_number 87
_space_group_name_Hall '-I 4'
_cell_length_a 9.749
_cell_length_b 9.749
_cell_length_c 10.742
_cell_angle_alpha 90.00
_cell_angle_beta 90.00
_cell_angle_gamma 90.00
loop_
_atom_site_label
_atom_site_fract_x
_atom_site_fract_y
_atom_site_fract_z
_atom_site_occupancy
La1 0.065 0.335 0.000 1
Sm1 0.000 0.000 0.000 1
Ho1 0.000 0.500 0.250 1
Ho2 0.115 0.209 0.341 1

# InPRuO2, relaxed, DFT PBE
# - total moment (μB/cell) = 0.79
# - E_form (uncorrected) (eV per atom) = -0.43
data_InPRuO2
_chemical_formula_sum 'In1 P1 Ru1 O2'
_space_group_name_H-M_alt 'P 4/m m m'
_space_group_IT_number 123
_space_group_name_Hall '-P 4 2'
_cell_length_a 3.827
_cell_length_b 3.827
_cell_length_c 5.239
_cell_angle_alpha 90.00
_cell_angle_beta 90.00
_cell_angle_gamma 90.00
loop_
_atom_site_label
_atom_site_fract_x
_atom_site_fract_y
_atom_site_fract_z
_atom_site_occupancy
In1 0.000 0.000 0.000 1
P1 0.500 0.500 0.000 1
Ru1 0.500 0.500 0.500 1
O1 0.000 0.500 0.500 1

# Pm9Er2Tl, relaxed, DFT PBE
# - total moment (μB/cell) = 0.00
# - energy of formation (eV/atom) = -0.05
data_Pm9Er2Tl
_chemical_formula_sum 'Pm9 Er2 Tl1'
_space_group_name_H-M_alt 'P 4/m m m'
_space_group_IT_number 123
_space_group_name_Hall '-P 4 2'
_cell_length_a 5.034
_cell_length_b 5.034
_cell_length_c 15.406
_cell_angle_alpha 90.00
_cell_angle_beta 90.00
_cell_angle_gamma 90.00
loop_
_atom_site_label
_atom_site_fract_x
_atom_site_fract_y
_atom_site_fract_z
_atom_site_occupancy
Pm1 0.000 0.000 0.000 1
Pm2 0.000 0.000 0.331 1
Pm3 0.000 0.500 0.163 1
Pm4 0.000 0.500 0.500 1
Er1 0.500 0.500 0.332 1
Tl1 0.500 0.500 0.000 1

# Mn3SiOs, relaxed, DFT PBE
# - total moment (μB/cell) = 9.24
# - E_form (uncorrected) (eV per atom) = 1.34
data_Mn3SiOs
_chemical_formula_sum 'Mn3 Si1 Os1'
_space_group_name_H-M_alt 'P m -3 m'
_space_group_IT_number 221
_space_group_name_Hall '-P 4 2 3'
_cell_length_a 4.639
_cell_length_b 4.639
_cell_length_c 4.639
_cell_angle_alpha 90.00
_cell_angle_beta 90.00
_cell_angle_gamma 90.00
loop_
_atom_site_label
_atom_site_fract_x
_atom_site_fract_y
_atom_site_fract_z
_atom_site_occupancy
Mn1 0.000 0.000 0.500 1
Si1 0.500 0.500 0.500 1
Os1 0.000 0.000 0.000 1

# ZrBr3, relaxed, DFT PBE
# - total moment (μB/cell) = 0.00
# - E_form (uncorrected) (eV per atom) = -0.70
data_ZrBr3
_chemical_formula_sum 'Zr1 Br3'
_space_group_name_H-M_alt 'P m m 2'
_space_group_IT_number 25
_cell_length_a 3.697
_cell_length_b 4.767
_cell_length_c 7.421
_cell_angle_alpha 90.00
_cell_angle_beta 90.00
_cell_angle_gamma 90.00
loop_
_space_group_symop_operation_xyz
'x,y,z'
'-x,-y,z'
'-x,y,z'
'x,-y,z'
loop_
_atom_site_label
_atom_site_fract_x
_atom_site_fract_y
_atom_site_fract_z
_atom_site_occupancy
Zr1 0.000 0.000 0.000 1
Br1 0.000 0.500 0.841 1
Br2 0.500 0.000 0.725 1
Br3 0.500 0.500 0.229 1

# Cr3Os, relaxed, DFT PBE
# - total moment (μB/cell) = 0.00
# - energy of formation (eV/atom) = 0.19
data_Cr3Os
_chemical_formula_sum 'Cr12 Os4'
_space_group_name_H-M_alt 'I 4/m m m'
_space_group_IT_number 139
_space_group_name_Hall '-I 4 2'
_cell_length_a 3.678
_cell_length_b 3.678
_cell_length_c 14.847
_cell_angle_alpha 90.00
_cell_angle_beta 90.00
_cell_angle_gamma 90.00
loop_
_atom_site_label
_atom_site_fract_x
_atom_site_fract_y
_atom_site_fract_z
_atom_site_occupancy
Cr1 0.000 0.000 0.122 1
Cr2 0.000 0.500 0.000 1
Cr3 0.000 0.500 0.250 1
Os1 0.000 0.000 0.374 1